## TbCeCuRh (GGA-PBE)

Data for a relaxed structure of TbCeCuRh.

Lattice parameters (Å, degrees): 4.9367 4.9367 4.9367 60.00 60.00 60.00
Element x y z (fractional)
Tb 0.0000 0.0000 0.0000
Ce 0.5000 0.5000 0.5000
Cu 0.7500 0.7500 0.7500
Rh 0.2500 0.2500 0.2500

Computed properties:
**SG**: No. 216
**D(E_F)**: 6.1 states/eV/cell
**Total DFT energy (no corrections)**: -23.782 eV per formula unit
**DFT formation energy**: -0.443 eV/atom

## CeThCuRh (GGA-PBE)

Data for a relaxed structure of CeThCuRh.

Lattice parameters (Å, degrees): 5.0042 5.0042 5.0042 60.00 60.00 60.00
Element x y z (fractional)
Ce 0.0000 0.0000 0.0000
Th 0.5000 0.5000 0.5000
Cu 0.2500 0.2500 0.2500
Rh 0.7500 0.7500 0.7500

Computed properties:
**SG**: No. 216
**D(E_F)**: 6.7 states/eV/cell
**Total DFT energy (no corrections)**: -26.311 eV per formula unit
**DFT formation energy**: -0.377 eV/atom

## CeTlCuRh (GGA-PBE)

Data for a relaxed structure of CeTlCuRh.

Lattice parameters (Å, degrees): 4.8292 4.8292 4.8292 60.00 60.00 60.00
Element x y z (fractional)
Ce 0.0000 0.0000 0.0000
Tl 0.5000 0.5000 0.5000
Cu 0.2500 0.2500 0.2500
Rh 0.7500 0.7500 0.7500

Computed properties:
**SG**: No. 216
**D(E_F)**: 4.4 states/eV/cell
**Total DFT energy (no corrections)**: -20.697 eV per formula unit
**DFT formation energy**: -0.237 eV/atom

Look up the DFT formation energy of the second one. -0.377 eV/atom

Which of these has the highest D(E_F)? CeThCuRh

Which formula does entry 2 have? CeThCuRh

The highest total DFT energy (no corrections) belongs to which entry? CeTlCuRh